Computed, not measured: a relaxed Y6ScSe8 crystal at the GGA-PBE level of DFT.

```
data_Y6ScSe8
_chemical_formula_sum 'Y6 Sc1 Se8'
_symmetry_space_group_name_H-M 'P 1'
_symmetry_Int_Tables_number 1
_symmetry_space_group_name_Hall 'P 1'
_cell_length_a 8.115
_cell_length_b 8.115
_cell_length_c 8.115
_cell_angle_alpha 60.00
_cell_angle_beta 60.00
_cell_angle_gamma 60.00
loop_
_atom_site_label
_atom_site_fract_x
_atom_site_fract_y
_atom_site_fract_z
_atom_site_occupancy
Y1 0.000 0.000 0.500 1
Y2 0.000 0.500 0.000 1
Y3 0.000 0.500 0.500 1
Y4 0.500 0.000 0.000 1
Y5 0.500 0.000 0.500 1
Y6 0.500 0.500 0.000 1
Sc1 0.000 0.000 0.000 1
Se1 0.245 0.245 0.755 1
Se2 0.245 0.755 0.245 1
Se3 0.245 0.755 0.755 1
Se4 0.250 0.250 0.250 1
Se5 0.750 0.750 0.750 1
Se6 0.755 0.245 0.245 1
Se7 0.755 0.245 0.755 1
Se8 0.755 0.755 0.245 1
```

## Properties
- V: 25.19 Å³/atom
- M_tot: 0.0 μB/f.u.
- Final energy: -6.687 eV/atom

***

Computed, not measured: a relaxed YScSe2 crystal at the GGA-PBE level of DFT.

```
data_YScSe2
_chemical_formula_sum 'Y1 Sc1 Se2'
_symmetry_space_group_name_H-M 'P 1'
_symmetry_Int_Tables_number 1
_symmetry_space_group_name_Hall 'P 1'
_cell_length_a 4.927
_cell_length_b 4.927
_cell_length_c 3.490
_cell_angle_alpha 90.00
_cell_angle_beta 90.00
_cell_angle_gamma 90.00
loop_
_atom_site_label
_atom_site_fract_x
_atom_site_fract_y
_atom_site_fract_z
_atom_site_occupancy
Y1 0.000 0.000 0.000 1
Sc1 0.500 0.500 0.000 1
Se1 0.000 0.500 0.500 1
Se2 0.500 0.000 0.500 1
```

## Properties
- V: 21.18 Å³/atom
- M_tot: 1.3 μB/f.u.
- Final energy: -6.349 eV/atom
- ΔE to the lowest computed polymorph: 280 meV/atom

***

Computed, not measured: a relaxed Y4ScSe crystal at the GGA-PBE level of DFT.

```
data_Y4ScSe
_chemical_formula_sum 'Y4 Sc1 Se1'
_symmetry_space_group_name_H-M 'P 1'
_symmetry_Int_Tables_number 1
_symmetry_space_group_name_Hall 'P 1'
_cell_length_a 6.403
_cell_length_b 6.403
_cell_length_c 6.403
_cell_angle_alpha 60.00
_cell_angle_beta 60.00
_cell_angle_gamma 60.00
loop_
_atom_site_label
_atom_site_fract_x
_atom_site_fract_y
_atom_site_fract_z
_atom_site_occupancy
Y1 0.123 0.123 0.123 1
Y2 0.123 0.123 0.630 1
Y3 0.123 0.630 0.123 1
Y4 0.630 0.123 0.123 1
Sc1 0.750 0.750 0.750 1
Se1 0.500 0.500 0.500 1
```

## Properties
- V: 30.94 Å³/atom
- M_tot: 2.0 μB/f.u.
- Final energy: -5.645 eV/atom

***

Computed, not measured: a relaxed YScSe2 crystal at the GGA-PBE level of DFT.

```
data_YScSe2
_chemical_formula_sum 'Y2 Sc2 Se4'
_symmetry_space_group_name_H-M 'P 1'
_symmetry_Int_Tables_number 1
_symmetry_space_group_name_Hall 'P 1'
_cell_length_a 3.880
_cell_length_b 3.863
_cell_length_c 13.232
_cell_angle_alpha 90.00
_cell_angle_beta 90.00
_cell_angle_gamma 90.00
loop_
_atom_site_label
_atom_site_fract_x
_atom_site_fract_y
_atom_site_fract_z
_atom_site_occupancy
Y1 0.000 0.000 0.000 1
Y2 0.000 0.500 0.500 1
Sc1 0.500 0.000 0.330 1
Sc2 0.500 0.500 0.830 1
Se1 0.000 0.000 0.785 1
Se2 0.000 0.500 0.285 1
Se3 0.500 0.000 0.541 1
Se4 0.500 0.500 0.041 1
```

## Properties
- V: 24.79 Å³/atom
- M_tot: 0.0 μB/f.u.
- Final energy: -6.496 eV/atom
- ΔE to the lowest computed polymorph: 134 meV/atom

***

Computed, not measured: a relaxed YScSe2 crystal at the GGA-PBE level of DFT.

```
data_YScSe2
_chemical_formula_sum 'Y3 Sc3 Se6'
_symmetry_space_group_name_H-M 'P 1'
_symmetry_Int_Tables_number 1
_symmetry_space_group_name_Hall 'P 1'
_cell_length_a 3.888
_cell_length_b 3.888
_cell_length_c 20.606
_cell_angle_alpha 90.00
_cell_angle_beta 90.00
_cell_angle_gamma 120.00
loop_
_atom_site_label
_atom_site_fract_x
_atom_site_fract_y
_atom_site_fract_z
_atom_site_occupancy
Y1 0.000 0.000 0.000 1
Y2 0.333 0.667 0.667 1
Y3 0.667 0.333 0.333 1
Sc1 0.000 0.000 0.176 1
Sc2 0.333 0.667 0.843 1
Sc3 0.667 0.333 0.510 1
Se1 0.000 0.000 0.581 1
Se2 0.000 0.000 0.760 1
Se3 0.333 0.667 0.247 1
Se4 0.333 0.667 0.427 1
Se5 0.667 0.333 0.094 1
Se6 0.667 0.333 0.914 1
```

## Properties
- V: 22.48 Å³/atom
- M_tot: 0.0 μB/f.u.
- Final energy: -6.630 eV/atom
- ΔE to the lowest computed polymorph: 0 meV/atom

***

Computed, not measured: a relaxed ScZnSe crystal at the GGA-PBE level of DFT.

```
data_ScZnSe
_chemical_formula_sum 'Sc4 Zn4 Se4'
_symmetry_space_group_name_H-M 'P 1'
_symmetry_Int_Tables_number 1
_symmetry_space_group_name_Hall 'P 1'
_cell_length_a 6.490
_cell_length_b 6.490
_cell_length_c 6.490
_cell_angle_alpha 90.00
_cell_angle_beta 90.00
_cell_angle_gamma 90.00
loop_
_atom_site_label
_atom_site_fract_x
_atom_site_fract_y
_atom_site_fract_z
_atom_site_occupancy
Sc1 0.000 0.000 0.000 1
Sc2 0.000 0.500 0.500 1
Sc3 0.500 0.000 0.500 1
Sc4 0.500 0.500 0.000 1
Zn1 0.250 0.250 0.250 1
Zn2 0.250 0.750 0.750 1
Zn3 0.750 0.250 0.750 1
Zn4 0.750 0.750 0.250 1
Se1 0.250 0.250 0.750 1
Se2 0.250 0.750 0.250 1
Se3 0.750 0.250 0.250 1
Se4 0.750 0.750 0.750 1
```

## Properties
- V: 22.78 Å³/atom
- M_tot: 0.5 μB/f.u.
- Final energy: -4.156 eV/atom
- ΔE to the lowest computed polymorph: 515 meV/atom

***

Computed, not measured: a relaxed ScZnSe2 crystal at the GGA-PBE level of DFT.

```
data_ScZnSe2
_chemical_formula_sum 'Sc1 Zn1 Se2'
_symmetry_space_group_name_H-M 'P 1'
_symmetry_Int_Tables_number 1
_symmetry_space_group_name_Hall 'P 1'
_cell_length_a 3.582
_cell_length_b 3.957
_cell_length_c 5.795
_cell_angle_alpha 90.00
_cell_angle_beta 90.00
_cell_angle_gamma 90.00
loop_
_atom_site_label
_atom_site_fract_x
_atom_site_fract_y
_atom_site_fract_z
_atom_site_occupancy
Sc1 0.000 0.000 0.000 1
Zn1 0.000 0.500 0.500 1
Se1 0.500 0.000 0.500 1
Se2 0.500 0.500 0.000 1
```

## Properties
- V: 20.54 Å³/atom
- M_tot: 0.0 μB/f.u.
- Final energy: -4.426 eV/atom

***

Computed, not measured: a relaxed ScZn3Se crystal at the GGA-PBE level of DFT.

```
data_ScZn3Se
_chemical_formula_sum 'Sc1 Zn3 Se1'
_symmetry_space_group_name_H-M 'P 1'
_symmetry_Int_Tables_number 1
_symmetry_space_group_name_Hall 'P 1'
_cell_length_a 4.883
_cell_length_b 4.883
_cell_length_c 4.883
_cell_angle_alpha 90.00
_cell_angle_beta 90.00
_cell_angle_gamma 90.00
loop_
_atom_site_label
_atom_site_fract_x
_atom_site_fract_y
_atom_site_fract_z
_atom_site_occupancy
Sc1 0.000 0.000 0.000 1
Zn1 0.000 0.500 0.500 1
Zn2 0.500 0.000 0.500 1
Zn3 0.500 0.500 0.000 1
Se1 0.500 0.500 0.500 1
```

## Properties
- V: 23.28 Å³/atom
- M_tot: 0.0 μB/f.u.
- Final energy: -2.258 eV/atom
- ΔE to the lowest computed polymorph: 0 meV/atom